# 1
# ThBe2SiPt4 | Alexandria | PBE | optimized geometry
data_ThBe2SiPt4
_chemical_formula_sum 'Th3 Be6 Si3 Pt12'
_cell_length_a 4.1083
_cell_length_b 4.1083
_cell_length_c 26.2698
_cell_angle_alpha 90.00
_cell_angle_beta 90.00
_cell_angle_gamma 120.00
_space_group_name_H-M_alt 'R -3 m'
_space_group_IT_number 166
_space_group_name_Hall '-R 3 2"'
loop_
_atom_site_label
_atom_site_type_symbol
_atom_site_fract_x
_atom_site_fract_y
_atom_site_fract_z
Th1 Th 0.0000 0.0000 0.0000
Be1 Be 0.0000 0.0000 0.2436
Si1 Si 0.0000 0.0000 0.5000
Pt1 Pt 0.0000 0.0000 0.1356
Pt2 Pt 0.0000 0.0000 0.4053
# Crystal system   trigonal



# 2
# Th2BeSi3Pt4 | Alexandria | PBE | optimized geometry
data_Th2BeSi3Pt4
_chemical_formula_sum 'Th2 Be1 Si3 Pt4'
_cell_length_a 4.236
_cell_length_b 4.236
_cell_length_c 9.869
_cell_angle_alpha 90.00
_cell_angle_beta 90.00
_cell_angle_gamma 90.00
_space_group_name_H-M_alt 'P -4 m 2'
_space_group_IT_number 115
_space_group_name_Hall 'P -4 -2'
loop_
_atom_site_label
_atom_site_type_symbol
_atom_site_fract_x
_atom_site_fract_y
_atom_site_fract_z
Th1 Th 0.000 0.500 0.243
Be1 Be 0.500 0.500 0.000
Si1 Si 0.000 0.000 0.000
Si2 Si 0.000 0.500 0.635
Pt1 Pt 0.000 0.000 0.500
Pt2 Pt 0.000 0.500 0.880
Pt3 Pt 0.500 0.500 0.500
# Crystal system   tetragonal



# 3
# ThBeSiPt6 | Alexandria | PBE | optimized geometry
data_ThBeSiPt6
_chemical_formula_sum 'Th4 Be4 Si4 Pt24'
_cell_length_a 7.811
_cell_length_b 7.814
_cell_length_c 11.101
_cell_angle_alpha 90.00
_cell_angle_beta 90.00
_cell_angle_gamma 90.00
_space_group_name_H-M_alt 'I m m a'
_space_group_IT_number 74
_space_group_name_Hall '-I 2b 2'
loop_
_atom_site_label
_atom_site_type_symbol
_atom_site_fract_x
_atom_site_fract_y
_atom_site_fract_z
Th1 Th 0.000 0.250 0.103
Be1 Be 0.250 0.250 0.750
Si1 Si 0.000 0.000 0.500
Pt1 Pt 0.000 0.250 0.378
Pt2 Pt 0.000 0.250 0.851
Pt3 Pt 0.241 0.014 0.629
# Crystal system   orthorhombic



# 4
# Th2BeSiPt6 | Alexandria | PBE | optimized geometry
data_Th2BeSiPt6
_chemical_formula_sum 'Th8 Be4 Si4 Pt24'
_cell_length_a 9.103
_cell_length_b 9.103
_cell_length_c 9.103
_cell_angle_alpha 90.00
_cell_angle_beta 90.00
_cell_angle_gamma 90.00
_space_group_name_H-M_alt 'F m -3 m'
_space_group_IT_number 225
_space_group_name_Hall '-F 4 2 3'
loop_
_atom_site_label
_atom_site_type_symbol
_atom_site_fract_x
_atom_site_fract_y
_atom_site_fract_z
Th1 Th 0.250 0.250 0.250
Be1 Be 0.000 0.000 0.000
Si1 Si 0.000 0.000 0.500
Pt1 Pt 0.000 0.000 0.241
# Crystal system   cubic



# 5
# Th2Be3Si4Pt | Alexandria | PBE | optimized geometry
data_Th2Be3Si4Pt
_chemical_formula_sum 'Th2 Be3 Si4 Pt1'
_cell_length_a 4.100
_cell_length_b 4.100
_cell_length_c 9.598
_cell_angle_alpha 90.00
_cell_angle_beta 90.00
_cell_angle_gamma 90.00
_space_group_name_H-M_alt 'P -4 m 2'
_space_group_IT_number 115
_space_group_name_Hall 'P -4 -2'
loop_
_atom_site_label
_atom_site_type_symbol
_atom_site_fract_x
_atom_site_fract_y
_atom_site_fract_z
Th1 Th 0.000 0.500 0.243
Be1 Be 0.000 0.500 0.880
Be2 Be 0.500 0.500 0.500
Si1 Si 0.000 0.000 0.000
Si2 Si 0.000 0.500 0.641
Si3 Si 0.500 0.500 0.000
Pt1 Pt 0.000 0.000 0.500
# Crystal system   tetragonal



# 6
# Th2BeSi3Pt12 | Alexandria | PBE | optimized geometry
data_Th2BeSi3Pt12
_chemical_formula_sum 'Th6 Be3 Si9 Pt36'
_cell_length_a 6.9803
_cell_length_b 6.9803
_cell_length_c 23.1722
_cell_angle_alpha 90.00
_cell_angle_beta 90.00
_cell_angle_gamma 120.00
_space_group_name_H-M_alt 'R -3 m'
_space_group_IT_number 166
_space_group_name_Hall '-R 3 2"'
loop_
_atom_site_label
_atom_site_type_symbol
_atom_site_fract_x
_atom_site_fract_y
_atom_site_fract_z
Th1 Th 0.0000 0.0000 0.1545
Be1 Be 0.0000 0.0000 0.5000
Si1 Si 0.0000 0.5000 0.0000
Pt1 Pt 0.0524 0.5262 0.6207
Pt2 Pt 0.0527 0.5264 0.1080
# Crystal system   trigonal



# 7
# Th2BeSi4Pt3 | Alexandria | PBE | optimized geometry
data_Th2BeSi4Pt3
_chemical_formula_sum 'Th2 Be1 Si4 Pt3'
_cell_length_a 4.222
_cell_length_b 4.222
_cell_length_c 9.907
_cell_angle_alpha 90.00
_cell_angle_beta 90.00
_cell_angle_gamma 90.00
_space_group_name_H-M_alt 'P -4 m 2'
_space_group_IT_number 115
_space_group_name_Hall 'P -4 -2'
loop_
_atom_site_label
_atom_site_type_symbol
_atom_site_fract_x
_atom_site_fract_y
_atom_site_fract_z
Th1 Th 0.000 0.500 0.247
Be1 Be 0.500 0.500 0.000
Si1 Si 0.000 0.000 0.500
Si2 Si 0.000 0.500 0.871
Si3 Si 0.500 0.500 0.500
Pt1 Pt 0.000 0.000 0.000
Pt2 Pt 0.000 0.500 0.623
# Crystal system   tetragonal



# 8
# TmBe2SiPt | Alexandria | PBE | optimized geometry
data_TmBe2SiPt
_chemical_formula_sum 'Tm2 Be4 Si2 Pt2'
_cell_length_a 3.821
_cell_length_b 3.896
_cell_length_c 9.860
_cell_angle_alpha 90.00
_cell_angle_beta 90.00
_cell_angle_gamma 90.00
_space_group_name_H-M_alt 'I m m 2'
_space_group_IT_number 44
_space_group_name_Hall 'I 2 -2'
loop_
_atom_site_label
_atom_site_type_symbol
_atom_site_fract_x
_atom_site_fract_y
_atom_site_fract_z
Tm1 Tm 0.000 0.000 0.000
Be1 Be 0.000 0.000 0.385
Be2 Be 0.000 0.500 0.254
Si1 Si 0.000 0.000 0.613
Pt1 Pt 0.000 0.500 0.758
# Crystal system   orthorhombic



# 9
# Tm2BeSi4Pt3 | Alexandria | PBE | optimized geometry
data_Tm2BeSi4Pt3
_chemical_formula_sum 'Tm2 Be1 Si4 Pt3'
_cell_length_a 3.966
_cell_length_b 3.966
_cell_length_c 10.519
_cell_angle_alpha 90.00
_cell_angle_beta 90.00
_cell_angle_gamma 90.00
_space_group_name_H-M_alt 'P -4 m 2'
_space_group_IT_number 115
_space_group_name_Hall 'P -4 -2'
loop_
_atom_site_label
_atom_site_type_symbol
_atom_site_fract_x
_atom_site_fract_y
_atom_site_fract_z
Tm1 Tm 0.000 0.500 0.235
Be1 Be 0.500 0.500 0.000
Si1 Si 0.000 0.000 0.500
Si2 Si 0.000 0.500 0.865
Si3 Si 0.500 0.500 0.500
Pt1 Pt 0.000 0.000 0.000
Pt2 Pt 0.000 0.500 0.636
# Crystal system   tetragonal



# 10
# Tm2Be4SiPt3 | Alexandria | PBE | optimized geometry
data_Tm2Be4SiPt3
_chemical_formula_sum 'Tm2 Be4 Si1 Pt3'
_cell_length_a 3.811
_cell_length_b 3.811
_cell_length_c 10.203
_cell_angle_alpha 90.00
_cell_angle_beta 90.00
_cell_angle_gamma 90.00
_space_group_name_H-M_alt 'P -4 m 2'
_space_group_IT_number 115
_space_group_name_Hall 'P -4 -2'
loop_
_atom_site_label
_atom_site_type_symbol
_atom_site_fract_x
_atom_site_fract_y
_atom_site_fract_z
Tm1 Tm 0.000 0.500 0.249
Be1 Be 0.000 0.000 0.500
Be2 Be 0.000 0.500 0.863
Be3 Be 0.500 0.500 0.500
Si1 Si 0.500 0.500 0.000
Pt1 Pt 0.000 0.000 0.000
Pt2 Pt 0.000 0.500 0.630
# Crystal system   tetragonal



# 11
# Tm2BeSiPt6 | Alexandria | PBE | optimized geometry
data_Tm2BeSiPt6
_chemical_formula_sum 'Tm6 Be3 Si3 Pt18'
_cell_length_a 5.6360
_cell_length_b 5.6360
_cell_length_c 19.4652
_cell_angle_alpha 90.00
_cell_angle_beta 90.00
_cell_angle_gamma 120.00
_space_group_name_H-M_alt 'R -3 m'
_space_group_IT_number 166
_space_group_name_Hall '-R 3 2"'
loop_
_atom_site_label
_atom_site_type_symbol
_atom_site_fract_x
_atom_site_fract_y
_atom_site_fract_z
Tm1 Tm 0.0000 0.0000 0.2086
Be1 Be 0.0000 0.0000 0.0000
Si1 Si 0.0000 0.0000 0.5000
Pt1 Pt 0.0055 0.5028 0.2592
# Crystal system   trigonal



# 12
# TmBeSiPt2 | Alexandria | PBE | optimized geometry
data_TmBeSiPt2
_chemical_formula_sum 'Tm2 Be2 Si2 Pt4'
_cell_length_a 3.813
_cell_length_b 3.813
_cell_length_c 11.402
_cell_angle_alpha 90.00
_cell_angle_beta 90.00
_cell_angle_gamma 90.00
_space_group_name_H-M_alt 'I -4 m 2'
_space_group_IT_number 119
_space_group_name_Hall 'I -4 -2'
loop_
_atom_site_label
_atom_site_type_symbol
_atom_site_fract_x
_atom_site_fract_y
_atom_site_fract_z
Tm1 Tm 0.000 0.000 0.000
Be1 Be 0.000 0.500 0.250
Si1 Si 0.000 0.500 0.750
Pt1 Pt 0.000 0.000 0.378
# Crystal system   tetragonal



# 13
# Tm3Be2SiPt9 | Alexandria | PBE | optimized geometry
data_Tm3Be2SiPt9
_chemical_formula_sum 'Tm3 Be2 Si1 Pt9'
_cell_length_a 5.7020
_cell_length_b 5.7020
_cell_length_c 9.2916
_cell_angle_alpha 90.00
_cell_angle_beta 90.00
_cell_angle_gamma 120.00
_space_group_name_H-M_alt 'P -3 m 1'
_space_group_IT_number 164
_space_group_name_Hall '-P 3 2"'
loop_
_atom_site_label
_atom_site_type_symbol
_atom_site_fract_x
_atom_site_fract_y
_atom_site_fract_z
Tm1 Tm 0.0000 0.0000 0.0000
Tm2 Tm 0.3333 0.6667 0.6000
Be1 Be 0.3333 0.6667 0.1537
Si1 Si 0.0000 0.0000 0.5000
Pt1 Pt 0.0000 0.5000 0.0000
Pt2 Pt 0.1643 0.3286 0.3079
# Crystal system   trigonal



# 14
# Tm3BeSi2Pt9 | Alexandria | PBE | optimized geometry
data_Tm3BeSi2Pt9
_chemical_formula_sum 'Tm3 Be1 Si2 Pt9'
_cell_length_a 7.0152
_cell_length_b 7.0152
_cell_length_c 6.4264
_cell_angle_alpha 90.00
_cell_angle_beta 90.00
_cell_angle_gamma 120.00
_space_group_name_H-M_alt 'P -3 m 1'
_space_group_IT_number 164
_space_group_name_Hall '-P 3 2"'
loop_
_atom_site_label
_atom_site_type_symbol
_atom_site_fract_x
_atom_site_fract_y
_atom_site_fract_z
Tm1 Tm 0.0000 0.0000 0.0000
Tm2 Tm 0.3333 0.6667 0.6655
Be1 Be 0.0000 0.0000 0.5000
Si1 Si 0.3333 0.6667 0.1918
Pt1 Pt 0.0000 0.5000 0.0000
Pt2 Pt 0.1574 0.3147 0.3320
# Crystal system   trigonal



# 15
# U2BeSi3Pt4 | Alexandria | PBE | optimized geometry
data_U2BeSi3Pt4
_chemical_formula_sum 'U2 Be1 Si3 Pt4'
_cell_length_a 4.115
_cell_length_b 4.115
_cell_length_c 9.992
_cell_angle_alpha 90.00
_cell_angle_beta 90.00
_cell_angle_gamma 90.00
_space_group_name_H-M_alt 'P -4 m 2'
_space_group_IT_number 115
_space_group_name_Hall 'P -4 -2'
loop_
_atom_site_label
_atom_site_type_symbol
_atom_site_fract_x
_atom_site_fract_y
_atom_site_fract_z
U1 U 0.000 0.500 0.240
Be1 Be 0.500 0.500 0.000
Si1 Si 0.000 0.000 0.000
Si2 Si 0.000 0.500 0.639
Pt1 Pt 0.000 0.000 0.500
Pt2 Pt 0.000 0.500 0.877
Pt3 Pt 0.500 0.500 0.500
# Crystal system   tetragonal



# 16
# U2BeSiPt6 | Alexandria | PBE | optimized geometry
data_U2BeSiPt6
_chemical_formula_sum 'U8 Be4 Si4 Pt24'
_cell_length_a 9.026
_cell_length_b 9.026
_cell_length_c 9.026
_cell_angle_alpha 90.00
_cell_angle_beta 90.00
_cell_angle_gamma 90.00
_space_group_name_H-M_alt 'F m -3 m'
_space_group_IT_number 225
_space_group_name_Hall '-F 4 2 3'
loop_
_atom_site_label
_atom_site_type_symbol
_atom_site_fract_x
_atom_site_fract_y
_atom_site_fract_z
U1 U 0.250 0.250 0.250
Be1 Be 0.000 0.000 0.000
Si1 Si 0.000 0.000 0.500
Pt1 Pt 0.000 0.000 0.241
# Crystal system   cubic



# 17
# U2BeSi4Pt3 | Alexandria | PBE | optimized geometry
data_U2BeSi4Pt3
_chemical_formula_sum 'U2 Be1 Si4 Pt3'
_cell_length_a 4.120
_cell_length_b 4.120
_cell_length_c 9.967
_cell_angle_alpha 90.00
_cell_angle_beta 90.00
_cell_angle_gamma 90.00
_space_group_name_H-M_alt 'P -4 m 2'
_space_group_IT_number 115
_space_group_name_Hall 'P -4 -2'
loop_
_atom_site_label
_atom_site_type_symbol
_atom_site_fract_x
_atom_site_fract_y
_atom_site_fract_z
U1 U 0.000 0.500 0.245
Be1 Be 0.500 0.500 0.000
Si1 Si 0.000 0.000 0.500
Si2 Si 0.000 0.500 0.869
Si3 Si 0.500 0.500 0.500
Pt1 Pt 0.000 0.000 0.000
Pt2 Pt 0.000 0.500 0.627
# Crystal system   tetragonal



# 18
# YBeSi2Pt | Alexandria | PBE | optimized geometry
data_YBeSi2Pt
_chemical_formula_sum 'Y2 Be2 Si4 Pt2'
_cell_length_a 3.943
_cell_length_b 3.943
_cell_length_c 10.238
_cell_angle_alpha 90.00
_cell_angle_beta 90.00
_cell_angle_gamma 90.00
_space_group_name_H-M_alt 'I -4 m 2'
_space_group_IT_number 119
_space_group_name_Hall 'I -4 -2'
loop_
_atom_site_label
_atom_site_type_symbol
_atom_site_fract_x
_atom_site_fract_y
_atom_site_fract_z
Y1 Y 0.000 0.000 0.000
Be1 Be 0.000 0.500 0.250
Si1 Si 0.000 0.000 0.385
Pt1 Pt 0.000 0.500 0.750
# Crystal system   tetragonal



# 19
# Y2BeSi4Pt3 | Alexandria | PBE | optimized geometry
data_Y2BeSi4Pt3
_chemical_formula_sum 'Y2 Be1 Si4 Pt3'
_cell_length_a 4.036
_cell_length_b 4.036
_cell_length_c 10.366
_cell_angle_alpha 90.00
_cell_angle_beta 90.00
_cell_angle_gamma 90.00
_space_group_name_H-M_alt 'P -4 m 2'
_space_group_IT_number 115
_space_group_name_Hall 'P -4 -2'
loop_
_atom_site_label
_atom_site_type_symbol
_atom_site_fract_x
_atom_site_fract_y
_atom_site_fract_z
Y1 Y 0.000 0.500 0.239
Be1 Be 0.500 0.500 0.000
Si1 Si 0.000 0.000 0.500
Si2 Si 0.000 0.500 0.866
Si3 Si 0.500 0.500 0.500
Pt1 Pt 0.000 0.000 0.000
Pt2 Pt 0.000 0.500 0.632
# Crystal system   tetragonal



# 20
# Y2Be3Si4Pt | Alexandria | PBE | optimized geometry
data_Y2Be3Si4Pt
_chemical_formula_sum 'Y2 Be3 Si4 Pt1'
_cell_length_a 3.933
_cell_length_b 3.933
_cell_length_c 9.826
_cell_angle_alpha 90.00
_cell_angle_beta 90.00
_cell_angle_gamma 90.00
_space_group_name_H-M_alt 'P -4 m 2'
_space_group_IT_number 115
_space_group_name_Hall 'P -4 -2'
loop_
_atom_site_label
_atom_site_type_symbol
_atom_site_fract_x
_atom_site_fract_y
_atom_site_fract_z
Y1 Y 0.000 0.500 0.244
Be1 Be 0.000 0.500 0.870
Be2 Be 0.500 0.500 0.500
Si1 Si 0.000 0.000 0.000
Si2 Si 0.000 0.500 0.642
Si3 Si 0.500 0.500 0.000
Pt1 Pt 0.000 0.000 0.500
# Crystal system   tetragonal



# 21
# YBe2SiPt | Alexandria | PBE | optimized geometry
data_YBe2SiPt
_chemical_formula_sum 'Y2 Be4 Si2 Pt2'
_cell_length_a 3.865
_cell_length_b 3.944
_cell_length_c 9.870
_cell_angle_alpha 90.00
_cell_angle_beta 90.00
_cell_angle_gamma 90.00
_space_group_name_H-M_alt 'I m m 2'
_space_group_IT_number 44
_space_group_name_Hall 'I 2 -2'
loop_
_atom_site_label
_atom_site_type_symbol
_atom_site_fract_x
_atom_site_fract_y
_atom_site_fract_z
Y1 Y 0.000 0.000 0.000
Be1 Be 0.000 0.000 0.382
Be2 Be 0.000 0.500 0.252
Si1 Si 0.000 0.000 0.615
Pt1 Pt 0.000 0.500 0.758
# Crystal system   orthorhombic



# 22
# Y3BeSi2Pt9 | Alexandria | PBE | optimized geometry
data_Y3BeSi2Pt9
_chemical_formula_sum 'Y3 Be1 Si2 Pt9'
_cell_length_a 6.3702
_cell_length_b 6.3702
_cell_length_c 8.0978
_cell_angle_alpha 90.00
_cell_angle_beta 90.00
_cell_angle_gamma 120.00
_space_group_name_H-M_alt 'P -3 m 1'
_space_group_IT_number 164
_space_group_name_Hall '-P 3 2"'
loop_
_atom_site_label
_atom_site_type_symbol
_atom_site_fract_x
_atom_site_fract_y
_atom_site_fract_z
Y1 Y 0.0000 0.0000 0.0000
Y2 Y 0.3333 0.6667 0.6625
Be1 Be 0.0000 0.0000 0.5000
Si1 Si 0.3333 0.6667 0.1955
Pt1 Pt 0.0000 0.5000 0.0000
Pt2 Pt 0.1433 0.2866 0.3026
# Crystal system   trigonal



For the records above, the corresponding D(E_F) values read 0.384 0.641 0.292 0.498 0.252 0.496 0.332 0.547 0.390 0.393 0.339 0.349 0.246 0.254 1.970 1.261 1.500 0.174 0.330 0.344 0.526 0.414 states/eV per atom.
For the records above, the corresponding formation energy without anion corrections values read -6.53 -10.87 -5.70 -8.01 -5.69 -11.83 -9.80 -3.30 -9.34 -7.96 -9.32 -4.74 -13.41 -11.72 -7.49 -4.01 -6.53 -4.09 -9.57 -5.69 -3.32 -11.43 eV/f.u..